DFT (PBE+U) results for a relaxed BeFeOF2 crystal.

Properties
Symmetry = P4/mmm
E = -4.629 eV per atom

a b c (Å): 3.9994 3.9994 3.8578
angles (deg): 90.00 90.00 90.00
With the nearest neighbours (Å) after each atom.
Sites, in units of the cell vectors:
Be 0.0000 0.0000 0.0000  8 F 2.78, 4 O 2.83
Fe 0.5000 0.5000 0.5000  2 O 1.93, 4 F 2.00
O 0.5000 0.5000 0.0000  2 Fe 1.93
F 0.0000 0.5000 0.5000  2 Fe 2.00
F 0.5000 0.0000 0.5000  2 Fe 2.00